(1)
DFT (GGA-PBEsol) results for crystalline SiPSe2 at its relaxed geometry.

```
SiPSe2
1.0
3.4898 0.0000 0.0000
1.7449 3.0223 0.0000
1.7449 1.0074 7.8836
P Si Se
1 1 2
Cartesian
0.0000 0.0000 0.0000
3.4898 2.0148 3.9418
5.2347 3.0223 2.4638
1.7449 1.0074 5.4198
```

## Properties
ΔE to the lowest computed polymorph ... 0.00 kcal/mol of atoms



(2)
DFT (GGA-PBEsol) results for crystalline Ni2AsW at its relaxed geometry.

```
Ni2AsW
1.0
2.7748 0.0000 0.0000
1.3874 2.4030 0.0000
1.3874 0.8010 7.9363
As Ni W
1 2 1
Cartesian
1.3874 0.8010 1.7994
4.1622 2.4030 0.0344
4.1622 2.4030 6.0261
2.7748 1.6020 4.0446
```

## Properties
ΔE_f ... 0.2435 eV/atom